<P>
This record from Alexandria via LeMat-Bulk describes a relaxed NaSr2MgPd crystal. The functional is GGA-PBE.

The structure in extended XYZ format:
```
5
Lattice="5.886 0.000 0.000 0.000 5.886 0.000 0.000 0.000 5.527" Properties=species:S:1:pos:R:3 pbc="T T T"
Sr 0.000 2.943 0.000
Sr 2.943 0.000 0.000
Mg 2.943 2.943 2.764
Pd 0.000 0.000 0.000
Na 0.000 0.000 2.764
```

Calculated values
Its crystal system is tetragonal.

<Q>
This record from Alexandria via LeMat-Bulk describes a relaxed NaSr2MgPd crystal. The functional is GGA-PBE.

The structure in extended XYZ format:
```
5
Lattice="5.944 0.000 0.000 0.000 5.944 0.000 0.000 0.000 5.266" Properties=species:S:1:pos:R:3 pbc="T T T"
Sr 0.000 2.972 0.000
Sr 2.972 0.000 0.000
Mg 0.000 0.000 2.633
Pd 0.000 0.000 0.000
Na 2.972 2.972 2.633
```

Calculated values
Its crystal system is tetragonal.

How far above the most stable structure does each one sit? In kJ/mol of atoms: <P> 15.8; <Q> 0.0.